# KTl2Br3

A geometry-optimized KTl2Br3 structure (GGA-PBE, Alexandria via LeMat-Bulk).

Cell: 8.2417 8.2417 8.2417 Å, 146.47 131.93 59.88°
Positions (direct):
K 0.0000 0.0000 0.0000
Tl 0.3333 0.3333 0.0000
Tl 0.6667 0.6667 0.0000
Br 0.1636 0.6636 0.5000
Br 0.5000 0.0000 0.5000
Br 0.8364 0.3364 0.5000

Values from the calculation:
N(E_F) = 0.0000 states/eV per atom
magnetic moment = 0.0000 μB per atom
formation energy from raw total energies = -6.965 eV per formula unit
V = 228 Å³ per cell
E_tot = -2.97 eV per atom

=====

# CePm6Sn5

A geometry-optimized CePm6Sn5 structure (GGA-PBE, Alexandria via LeMat-Bulk).

Cell: 7.5604 7.5604 7.0657 Å, 98.18 98.18 104.71°
Positions (direct):
Ce 0.0000 0.0000 0.0000
Pm 0.1033 0.4705 0.2826
Pm 0.3066 0.3066 0.8002
Pm 0.4705 0.1033 0.2826
Pm 0.5295 0.8967 0.7174
Pm 0.6934 0.6934 0.1998
Pm 0.8967 0.5295 0.7174
Sn 0.1202 0.8798 0.5000
Sn 0.2833 0.7167 0.0000
Sn 0.5000 0.5000 0.5000
Sn 0.7167 0.2833 0.0000
Sn 0.8798 0.1202 0.5000

Values from the calculation:
N(E_F) = 1.3773 states/eV per atom
magnetic moment = 0.2380 μB per atom
V = 380 Å³ per cell
E_tot = -5.02 eV per atom

=====

# LaAlBr2

A geometry-optimized LaAlBr2 structure (GGA-PBE, Alexandria via LeMat-Bulk).

Cell: 3.8557 3.8557 8.2315 Å, 90.00 90.00 90.00°
Positions (direct):
La 0.0000 0.0000 0.0000
Al 0.5000 0.5000 0.2161
Br 0.0000 0.0000 0.3907
Br 0.5000 0.5000 0.7998

Values from the calculation:
N(E_F) = 0.8789 states/eV per atom
magnetic moment = 0.0729 μB per atom
energy relative to the lowest polymorph listed for this composition = 57.7 meV per atom
formation energy from raw total energies = -3.411 eV per formula unit
V = 122 Å³ per cell
E_tot = -3.86 eV per atom

=====

# Hf2VNi4

A geometry-optimized Hf2VNi4 structure (GGA-PBE, Alexandria via LeMat-Bulk).

Cell: 7.1570 7.1570 7.1570 Å, 145.51 145.51 49.57°
Positions (direct):
Hf 0.1329 0.1329 0.0000
Hf 0.8671 0.8671 0.0000
V 0.5000 0.5000 0.0000
Ni 0.0000 0.5000 0.5000
Ni 0.3237 0.3237 0.0000
Ni 0.5000 0.0000 0.5000
Ni 0.6763 0.6763 0.0000

Values from the calculation:
N(E_F) = 1.0942 states/eV per atom
magnetic moment = 0.0000 μB per atom
V = 117 Å³ per cell
E_tot = -7.05 eV per atom

=====

# AlCuTcRu

A geometry-optimized AlCuTcRu structure (GGA-PBE, Alexandria via LeMat-Bulk).

Cell: 4.2699 4.2699 4.2699 Å, 60.00 60.00 60.00°
Positions (direct):
Al 0.0000 0.0000 0.0000
Cu 0.2500 0.2500 0.2500
Tc 0.5000 0.5000 0.5000
Ru 0.7500 0.7500 0.7500

Values from the calculation:
N(E_F) = 0.7490 states/eV per atom
magnetic moment = 0.0000 μB per atom
V = 55 Å³ per cell
E_tot = -6.97 eV per atom

=====

# Li2TePb

A geometry-optimized Li2TePb structure (GGA-PBE, Alexandria via LeMat-Bulk).

Cell: 5.0162 5.0162 5.3027 Å, 102.76 102.76 48.03°
Positions (direct):
Li 0.2392 0.2392 0.2271
Li 0.7608 0.7608 0.7729
Te 0.5000 0.5000 0.0000
Pb 0.0000 0.0000 0.5000

Values from the calculation:
N(E_F) = 0.5629 states/eV per atom
magnetic moment = 0.0000 μB per atom
energy relative to the lowest polymorph listed for this composition = 79.2 meV per atom
formation energy from raw total energies = -1.771 eV per formula unit
V = 96 Å³ per cell
E_tot = -3.11 eV per atom

=====

Please write out number 3 again, unchanged.
# LaAlBr2

A geometry-optimized LaAlBr2 structure (GGA-PBE, Alexandria via LeMat-Bulk).

Cell: 3.8557 3.8557 8.2315 Å, 90.00 90.00 90.00°
Positions (direct):
La 0.0000 0.0000 0.0000
Al 0.5000 0.5000 0.2161
Br 0.0000 0.0000 0.3907
Br 0.5000 0.5000 0.7998

Values from the calculation:
N(E_F) = 0.8789 states/eV per atom
magnetic moment = 0.0729 μB per atom
energy relative to the lowest polymorph listed for this composition = 57.7 meV per atom
formation energy from raw total energies = -3.411 eV per formula unit
V = 122 Å³ per cell
E_tot = -3.86 eV per atom

=====

- The highest E_tot belongs to which entry?
  KTl2Br3

=====

- Which of these has the lowest E_tot?
  Hf2VNi4

=====

- Which value of E_tot does entry 1 give?
  -2.97 eV per atom